1.
Compound: Zn3Sn2Ru2
Source: Alexandria via LeMat-Bulk
Functional: PBE
Structure: optimized geometry

- Formation energy from the elements: -182.1 meV per atom
- Raw total energy: -126.62 eV per cell
- Space-group type: Pnma

a = 8.295 Å, b = 4.181 Å, c = 13.870 Å
α = 90.00°, β = 90.00°, γ = 90.00°
Fractional positions:
Zn: 0.034 0.250 0.041
Zn: 0.090 0.250 0.244
Zn: 0.157 0.750 0.630
Zn: 0.343 0.250 0.130
Zn: 0.410 0.750 0.744
Zn: 0.466 0.750 0.541
Zn: 0.534 0.250 0.459
Zn: 0.590 0.250 0.256
Zn: 0.657 0.750 0.870
Zn: 0.843 0.250 0.370
Zn: 0.910 0.750 0.756
Zn: 0.966 0.750 0.959
Sn: 0.148 0.250 0.477
Sn: 0.155 0.250 0.805
Sn: 0.345 0.750 0.305
Sn: 0.352 0.750 0.977
Sn: 0.648 0.250 0.023
Sn: 0.655 0.250 0.695
Sn: 0.845 0.750 0.195
Sn: 0.852 0.750 0.523
Ru: 0.041 0.750 0.356
Ru: 0.150 0.750 0.131
Ru: 0.350 0.250 0.631
Ru: 0.459 0.250 0.856
Ru: 0.541 0.750 0.144
Ru: 0.650 0.750 0.369
Ru: 0.850 0.250 0.869
Ru: 0.959 0.250 0.644

=====

2.
Compound: Zn2SnRu2
Source: Alexandria via LeMat-Bulk
Functional: PBE
Structure: optimized geometry

- Formation energy from the elements: 20.6 meV per atom
- Raw total energy: -50.00 eV per cell
- Space-group type: P4/mbm

a = 6.833 Å, b = 6.833 Å, c = 3.484 Å
α = 90.00°, β = 90.00°, γ = 90.00°
Fractional positions:
Zn: 0.148 0.352 0.000
Zn: 0.352 0.852 0.000
Zn: 0.648 0.148 0.000
Zn: 0.852 0.648 0.000
Sn: 0.000 0.000 0.500
Sn: 0.500 0.500 0.500
Ru: 0.146 0.646 0.500
Ru: 0.354 0.146 0.500
Ru: 0.646 0.854 0.500
Ru: 0.854 0.354 0.500

=====

3.
Compound: ZnSnRu3
Source: Alexandria via LeMat-Bulk
Functional: PBE
Structure: optimized geometry

- Formation energy from the elements: 1215.0 meV per atom
- Raw total energy: -27.03 eV per cell
- Energy above the most stable polymorph in this dataset: 0 meV/atom
- Space-group type: Pm-3m

a = 4.518 Å, b = 4.518 Å, c = 4.518 Å
α = 90.00°, β = 90.00°, γ = 90.00°
Fractional positions:
Zn: 0.000 0.000 0.000
Sn: 0.500 0.500 0.500
Ru: 0.000 0.000 0.500
Ru: 0.000 0.500 0.000
Ru: 0.500 0.000 0.000

=====

4.
Compound: ZnSnRu3
Source: Alexandria via LeMat-Bulk
Functional: PBE
Structure: optimized geometry

- Formation energy from the elements: 1747.3 meV per atom
- Raw total energy: -24.37 eV per cell
- Energy above the most stable polymorph in this dataset: 532 meV/atom
- Space-group type: Pm-3m

a = 4.863 Å, b = 4.863 Å, c = 4.863 Å
α = 90.00°, β = 90.00°, γ = 90.00°
Fractional positions:
Zn: 0.000 0.000 0.000
Sn: 0.500 0.500 0.500
Ru: 0.000 0.500 0.500
Ru: 0.500 0.000 0.500
Ru: 0.500 0.500 0.000